# InSbTe4

A relaxed InSbTe4 crystal (PBE-GGA, Alexandria via LeMat-Bulk).

Cell and atoms, written as CIF:
```
data_InSbTe4
_chemical_formula_sum 'In2 Sb2 Te8'
_cell_length_a 13.491
_cell_length_b 4.441
_cell_length_c 7.621
_cell_angle_alpha 90.00
_cell_angle_beta 123.94
_cell_angle_gamma 90.00
_symmetry_space_group_name_H-M 'C 1 2/m 1'
_symmetry_Int_Tables_number 12
loop_
_symmetry_equiv_pos_as_xyz
'x,y,z'
'-x,-y,-z'
'-x,y,-z'
'x,-y,z'
'x+1/2,y+1/2,z'
'-x+1/2,-y+1/2,-z'
'-x+1/2,y+1/2,-z'
'x+1/2,-y+1/2,z'
loop_
_atom_site_label
_atom_site_fract_x
_atom_site_fract_y
_atom_site_fract_z
_atom_site_occupancy
In1 0.000 0.000 0.000 1
Sb1 0.000 0.500 0.500 1
Te1 0.149 0.500 0.985 1
Te2 0.157 0.000 0.488 1
```

Formation energy without anion corrections = -0.0950 eV/atom
Relative energy among the computed polymorphs = 0 kJ/mol of formula units
Magnetic moment = 0.0 μB/f.u.
DOS(E_F) = 3.35 states/eV/f.u.
VASP energy = -3.3329 eV per atom

# DyZnInRh

A relaxed DyZnInRh crystal (PBE-GGA, Alexandria via LeMat-Bulk).

Cell and atoms, written as CIF:
```
data_DyZnInRh
_chemical_formula_sum 'Dy4 Zn4 In4 Rh4'
_cell_length_a 6.755
_cell_length_b 6.755
_cell_length_c 6.755
_cell_angle_alpha 90.00
_cell_angle_beta 90.00
_cell_angle_gamma 90.00
_symmetry_space_group_name_H-M 'F -4 3 m'
_symmetry_Int_Tables_number 216
_symmetry_space_group_name_Hall 'F -4 2 3'
loop_
_atom_site_label
_atom_site_fract_x
_atom_site_fract_y
_atom_site_fract_z
_atom_site_occupancy
Dy1 0.000 0.000 0.000 1
Zn1 0.250 0.250 0.750 1
In1 0.000 0.000 0.500 1
Rh1 0.250 0.250 0.250 1
```

Magnetic moment = 0.0 μB/f.u.
DOS(E_F) = 2.82 states/eV/f.u.
VASP energy = -4.4658 eV per atom

# La15Y4Ho

A relaxed La15Y4Ho crystal (PBE-GGA, Alexandria via LeMat-Bulk).

Cell and atoms, written as CIF:
```
data_La15Y4Ho
_chemical_formula_sum 'La15 Y4 Ho1'
_cell_length_a 5.216
_cell_length_b 5.216
_cell_length_c 26.073
_cell_angle_alpha 90.00
_cell_angle_beta 90.00
_cell_angle_gamma 90.00
_symmetry_space_group_name_H-M 'P 4/m m m'
_symmetry_Int_Tables_number 123
_symmetry_space_group_name_Hall '-P 4 2'
loop_
_atom_site_label
_atom_site_fract_x
_atom_site_fract_y
_atom_site_fract_z
_atom_site_occupancy
La1 0.000 0.000 0.000 1
La2 0.000 0.000 0.200 1
La3 0.000 0.000 0.400 1
La4 0.000 0.500 0.099 1
La5 0.000 0.500 0.300 1
La6 0.000 0.500 0.500 1
Y1 0.500 0.500 0.200 1
Y2 0.500 0.500 0.400 1
Ho1 0.500 0.500 0.000 1
```

Magnetic moment = 0.0 μB/f.u.
DOS(E_F) = 25.78 states/eV/f.u.
VASP energy = -5.2106 eV per atom

# PmPu2ZrAs4

A relaxed PmPu2ZrAs4 crystal (PBE-GGA, Alexandria via LeMat-Bulk).

Cell and atoms, written as CIF:
```
data_PmPu2ZrAs4
_chemical_formula_sum 'Pm1 Pu2 Zr1 As4'
_cell_length_a 7.055
_cell_length_b 4.088
_cell_length_c 7.111
_cell_angle_alpha 90.00
_cell_angle_beta 109.35
_cell_angle_gamma 90.00
_symmetry_space_group_name_H-M 'P 1 2/m 1'
_symmetry_Int_Tables_number 10
loop_
_symmetry_equiv_pos_as_xyz
'x,y,z'
'-x,-y,-z'
'-x,y,-z'
'x,-y,z'
loop_
_atom_site_label
_atom_site_fract_x
_atom_site_fract_y
_atom_site_fract_z
_atom_site_occupancy
Pm1 0.000 0.000 0.000 1
Pu1 0.500 0.000 0.500 1
Pu2 0.500 0.500 0.000 1
Zr1 0.000 0.500 0.500 1
As1 0.242 0.000 0.736 1
As2 0.250 0.500 0.263 1
```

Magnetic moment = 10.4 μB/f.u.
DOS(E_F) = 21.09 states/eV/f.u.
VASP energy = -8.7539 eV per atom

# NiRh2Cl

A relaxed NiRh2Cl crystal (PBE-GGA, Alexandria via LeMat-Bulk).

Cell and atoms, written as CIF:
```
data_NiRh2Cl
_chemical_formula_sum 'Ni1 Rh2 Cl1'
_cell_length_a 2.868
_cell_length_b 2.868
_cell_length_c 7.015
_cell_angle_alpha 90.00
_cell_angle_beta 90.00
_cell_angle_gamma 90.00
_symmetry_space_group_name_H-M 'P 4 m m'
_symmetry_Int_Tables_number 99
loop_
_symmetry_equiv_pos_as_xyz
'x,y,z'
'-y,x,z'
'-x,-y,z'
'y,-x,z'
'-x,y,z'
'y,x,z'
'x,-y,z'
'-y,-x,z'
loop_
_atom_site_label
_atom_site_fract_x
_atom_site_fract_y
_atom_site_fract_z
_atom_site_occupancy
Ni1 0.000 0.000 0.000 1
Rh1 0.000 0.000 0.477 1
Rh2 0.500 0.500 0.232 1
Cl1 0.500 0.500 0.760 1
```

Formation energy without anion corrections = 0.3409 eV/atom
Relative energy among the computed polymorphs = 46 kJ/mol of formula units
Magnetic moment = 0.3 μB/f.u.
DOS(E_F) = 6.44 states/eV/f.u.
VASP energy = -5.2418 eV per atom

# Ba2Ni4I

A relaxed Ba2Ni4I crystal (PBE-GGA, Alexandria via LeMat-Bulk).

Cell and atoms, written as CIF:
```
data_Ba2Ni4I
_chemical_formula_sum 'Ba4 Ni8 I2'
_cell_length_a 4.706
_cell_length_b 4.706
_cell_length_c 16.947
_cell_angle_alpha 90.00
_cell_angle_beta 90.00
_cell_angle_gamma 90.00
_symmetry_space_group_name_H-M 'I 4/m m m'
_symmetry_Int_Tables_number 139
_symmetry_space_group_name_Hall '-I 4 2'
loop_
_atom_site_label
_atom_site_fract_x
_atom_site_fract_y
_atom_site_fract_z
_atom_site_occupancy
Ba1 0.000 0.000 0.155 1
Ni1 0.000 0.000 0.356 1
Ni2 0.000 0.500 0.000 1
I1 0.000 0.000 0.500 1
```

Formation energy without anion corrections = 0.4814 eV/atom
Magnetic moment = 0.0 μB/f.u.
DOS(E_F) = 3.17 states/eV/f.u.
VASP energy = -3.5930 eV per atom

> Number 4 is which compound?

PmPu2ZrAs4